(1)
# NbIn2Cl

Crystalline NbIn2Cl at its relaxed geometry (PBE-GGA, Alexandria via LeMat-Bulk).

Structure (POSCAR):
```
NbIn2Cl
1.0
0.000 3.598 3.598
3.598 0.000 3.598
3.598 3.598 0.000
Nb In Cl
1 2 1
direct
0.000 0.000 0.000 Nb
0.250 0.250 0.250 In
0.750 0.750 0.750 In
0.500 0.500 0.500 Cl
```

Results
Relative energy among the computed polymorphs = 10.4 kJ/mol of atoms
ΔE_f (raw) = 558 meV per atom
Total energy = -3.79 eV per atom
D(E_F) = 2.5 states/eV/f.u.

=====

(2)
# Nb2InCl

Crystalline Nb2InCl at its relaxed geometry (PBE-GGA, Alexandria via LeMat-Bulk).

Structure (POSCAR):
```
Nb2InCl
1.0
0.000 3.347 3.347
3.347 0.000 3.347
3.347 3.347 0.000
Nb In Cl
2 1 1
direct
0.250 0.250 0.250 Nb
0.750 0.750 0.750 Nb
0.000 0.000 0.000 In
0.500 0.500 0.500 Cl
```

Results
Relative energy among the computed polymorphs = 0.0 kJ/mol of atoms
ΔE_f (raw) = 426 meV per atom
Total energy = -5.76 eV per atom
D(E_F) = 0.3 states/eV/f.u.

=====

(3)
# Nb4InCl7

Crystalline Nb4InCl7 at its relaxed geometry (PBE-GGA, Alexandria via LeMat-Bulk).

Structure (POSCAR):
```
Nb4InCl7
1.0
15.968 0.000 0.000
0.000 6.109 0.000
0.000 0.000 5.894
Nb In Cl
8 2 14
direct
0.154 0.225 0.000 Nb
0.240 0.895 0.934 Nb
0.260 0.105 0.434 Nb
0.346 0.775 0.500 Nb
0.654 0.775 0.500 Nb
0.740 0.105 0.434 Nb
0.760 0.895 0.934 Nb
0.846 0.225 0.000 Nb
0.000 0.741 0.444 In
0.500 0.259 0.944 In
0.000 0.124 0.893 Cl
0.102 0.182 0.388 Cl
0.126 0.622 0.829 Cl
0.208 0.711 0.316 Cl
0.292 0.289 0.816 Cl
0.374 0.378 0.329 Cl
0.398 0.818 0.888 Cl
0.500 0.876 0.393 Cl
0.602 0.818 0.888 Cl
0.626 0.378 0.329 Cl
0.708 0.289 0.816 Cl
0.792 0.711 0.316 Cl
0.874 0.622 0.829 Cl
0.898 0.182 0.388 Cl
```

Results
ΔE_f (raw) = -585 meV per atom
Total energy = -5.25 eV per atom
D(E_F) = 2.9 states/eV/f.u.

=====

(4)
# Nb2InCl6

Crystalline Nb2InCl6 at its relaxed geometry (PBE-GGA, Alexandria via LeMat-Bulk).

Structure (POSCAR):
```
Nb2InCl6
1.0
7.271 -1.724 0.000
7.271 1.724 0.000
-1.713 0.000 9.307
Nb In Cl
2 1 6
direct
0.223 0.223 0.107 Nb
0.777 0.777 0.893 Nb
0.000 0.000 0.500 In
0.094 0.094 0.247 Cl
0.320 0.320 0.341 Cl
0.382 0.382 0.036 Cl
0.618 0.618 0.964 Cl
0.680 0.680 0.659 Cl
0.906 0.906 0.753 Cl
```

Results
ΔE_f (raw) = -966 meV per atom
Total energy = -4.74 eV per atom
D(E_F) = 3.1 states/eV/f.u.

=====

(5)
# Nb6InCl15

Crystalline Nb6InCl15 at its relaxed geometry (PBE-GGA, Alexandria via LeMat-Bulk).

Structure (POSCAR):
```
Nb6InCl15
1.0
18.301 0.000 0.000
0.000 13.622 0.000
0.000 0.000 9.608
Nb In Cl
24 4 60
direct
0.030 0.109 0.143 Nb
0.030 0.891 0.143 Nb
0.104 0.000 0.919 Nb
0.169 0.391 0.322 Nb
0.169 0.609 0.322 Nb
0.250 0.500 0.109 Nb
0.250 0.500 0.536 Nb
0.331 0.391 0.322 Nb
0.331 0.609 0.322 Nb
0.396 0.000 0.919 Nb
0.470 0.109 0.143 Nb
0.470 0.891 0.143 Nb
0.530 0.109 0.857 Nb
0.530 0.891 0.857 Nb
0.604 0.000 0.081 Nb
0.669 0.391 0.678 Nb
0.669 0.609 0.678 Nb
0.750 0.500 0.464 Nb
0.750 0.500 0.891 Nb
0.831 0.391 0.678 Nb
0.831 0.609 0.678 Nb
0.896 0.000 0.081 Nb
0.970 0.109 0.857 Nb
0.970 0.891 0.857 Nb
0.250 0.245 0.811 In
0.250 0.755 0.811 In
0.750 0.245 0.189 In
0.750 0.755 0.189 In
0.000 0.253 0.000 Cl
0.000 0.747 0.000 Cl
0.061 0.500 0.321 Cl
0.067 0.250 0.324 Cl
0.067 0.750 0.324 Cl
0.071 0.000 0.334 Cl
0.090 0.127 0.736 Cl
0.090 0.873 0.736 Cl
0.154 0.374 0.578 Cl
0.154 0.626 0.578 Cl
0.155 0.376 0.066 Cl
0.155 0.624 0.066 Cl
0.159 0.124 0.072 Cl
0.159 0.876 0.072 Cl
0.250 0.000 0.814 Cl
0.250 0.246 0.331 Cl
0.250 0.500 0.821 Cl
0.250 0.754 0.331 Cl
0.341 0.124 0.072 Cl
0.341 0.876 0.072 Cl
0.345 0.376 0.066 Cl
0.345 0.624 0.066 Cl
0.346 0.374 0.578 Cl
0.346 0.626 0.578 Cl
0.410 0.127 0.736 Cl
0.410 0.873 0.736 Cl
0.429 0.000 0.334 Cl
0.433 0.250 0.324 Cl
0.433 0.750 0.324 Cl
0.439 0.500 0.321 Cl
0.500 0.253 0.000 Cl
0.500 0.747 0.000 Cl
0.561 0.500 0.679 Cl
0.567 0.250 0.676 Cl
0.567 0.750 0.676 Cl
0.571 0.000 0.666 Cl
0.590 0.127 0.264 Cl
0.590 0.873 0.264 Cl
0.654 0.374 0.422 Cl
0.654 0.626 0.422 Cl
0.655 0.376 0.934 Cl
0.655 0.624 0.934 Cl
0.659 0.124 0.928 Cl
0.659 0.876 0.928 Cl
0.750 0.000 0.186 Cl
0.750 0.246 0.669 Cl
0.750 0.500 0.179 Cl
0.750 0.754 0.669 Cl
0.841 0.124 0.928 Cl
0.841 0.876 0.928 Cl
0.845 0.376 0.934 Cl
0.845 0.624 0.934 Cl
0.846 0.374 0.422 Cl
0.846 0.626 0.422 Cl
0.910 0.127 0.264 Cl
0.910 0.873 0.264 Cl
0.929 0.000 0.666 Cl
0.933 0.250 0.676 Cl
0.933 0.750 0.676 Cl
0.939 0.500 0.679 Cl
```

Results
ΔE_f (raw) = -1233 meV per atom
Total energy = -5.36 eV per atom

=====

(6)
# NbInCl4

Crystalline NbInCl4 at its relaxed geometry (PBE-GGA, Alexandria via LeMat-Bulk).

Structure (POSCAR):
```
NbInCl4
1.0
4.456 -7.093 0.000
4.456 7.093 0.000
-2.302 0.000 6.323
Nb In Cl
2 2 8
direct
0.001 0.999 0.750 Nb
0.999 0.001 0.250 Nb
0.373 0.627 0.750 In
0.627 0.373 0.250 In
0.128 0.865 0.496 Cl
0.135 0.872 0.004 Cl
0.288 0.300 0.382 Cl
0.300 0.288 0.882 Cl
0.700 0.712 0.118 Cl
0.712 0.700 0.618 Cl
0.865 0.128 0.996 Cl
0.872 0.135 0.504 Cl
```

Results
ΔE_f (raw) = -1034 meV per atom
Total energy = -4.40 eV per atom
D(E_F) = 2.4 states/eV/f.u.

=====

(7)
# Nb2InCl

Crystalline Nb2InCl at its relaxed geometry (PBE-GGA, Alexandria via LeMat-Bulk).

Structure (POSCAR):
```
Nb2InCl
1.0
-2.007 2.007 10.410
2.007 -2.007 10.410
2.007 2.007 -10.410
Nb In Cl
4 2 2
direct
0.116 0.625 0.991 Nb
0.375 0.366 0.491 Nb
0.634 0.125 0.009 Nb
0.875 0.884 0.509 Nb
0.000 0.000 0.000 In
0.750 0.250 0.500 In
0.250 0.750 0.500 Cl
0.500 0.500 0.000 Cl
```

Results
Relative energy among the computed polymorphs = 4.1 kJ/mol of atoms
ΔE_f (raw) = 468 meV per atom
Total energy = -5.71 eV per atom
D(E_F) = 2.6 states/eV/f.u.

=====

(8)
# NbInCl2

Crystalline NbInCl2 at its relaxed geometry (PBE-GGA, Alexandria via LeMat-Bulk).

Structure (POSCAR):
```
NbInCl2
1.0
0.000 3.429 3.429
3.429 0.000 3.429
3.429 3.429 0.000
Nb In Cl
1 1 2
direct
0.000 0.000 0.000 Nb
0.500 0.500 0.500 In
0.250 0.250 0.250 Cl
0.750 0.750 0.750 Cl
```

Results
Relative energy among the computed polymorphs = 81.5 kJ/mol of atoms
ΔE_f (raw) = 208 meV per atom
Total energy = -3.92 eV per atom
D(E_F) = 4.4 states/eV/f.u.

=====

(9)
# Nb2In2Cl7

Crystalline Nb2In2Cl7 at its relaxed geometry (PBE-GGA, Alexandria via LeMat-Bulk).

Structure (POSCAR):
```
Nb2In2Cl7
1.0
2.973 -5.280 0.000
2.973 5.280 0.000
-1.063 0.000 18.606
Nb In Cl
4 4 14
direct
0.131 0.262 0.000 Nb
0.262 0.131 0.500 Nb
0.738 0.869 0.500 Nb
0.869 0.738 0.000 Nb
0.083 0.423 0.264 In
0.423 0.083 0.764 In
0.577 0.917 0.236 In
0.917 0.577 0.736 In
0.020 0.181 0.594 Cl
0.145 0.639 0.925 Cl
0.181 0.020 0.094 Cl
0.327 0.494 0.426 Cl
0.361 0.855 0.575 Cl
0.422 0.578 0.750 Cl
0.494 0.327 0.926 Cl
0.506 0.673 0.074 Cl
0.578 0.422 0.250 Cl
0.639 0.145 0.425 Cl
0.673 0.506 0.574 Cl
0.819 0.980 0.906 Cl
0.855 0.361 0.075 Cl
0.980 0.819 0.406 Cl
```

Results
ΔE_f (raw) = -955 meV per atom
Total energy = -4.46 eV per atom
D(E_F) = 4.7 states/eV/f.u.

=====

(10)
# NbInCl2

Crystalline NbInCl2 at its relaxed geometry (PBE-GGA, Alexandria via LeMat-Bulk).

Structure (POSCAR):
```
NbInCl2
1.0
1.635 0.944 10.070
-1.635 0.944 10.070
0.000 -1.888 10.070
Nb In Cl
1 1 2
direct
0.000 0.000 0.000 Nb
0.500 0.500 0.500 In
0.078 0.078 0.078 Cl
0.922 0.922 0.922 Cl
```

Results
Relative energy among the computed polymorphs = 30.7 kJ/mol of atoms
ΔE_f (raw) = -318 meV per atom
Total energy = -4.44 eV per atom
D(E_F) = 2.9 states/eV/f.u.

=====

(11)
# NbIn2Cl7

Crystalline NbIn2Cl7 at its relaxed geometry (PBE-GGA, Alexandria via LeMat-Bulk).

Structure (POSCAR):
```
NbIn2Cl7
1.0
7.694 -4.004 0.000
7.694 4.004 0.000
-6.410 0.000 10.305
Nb In Cl
2 4 14
direct
0.228 0.772 0.750 Nb
0.772 0.228 0.250 Nb
0.130 0.639 0.981 In
0.361 0.870 0.519 In
0.639 0.130 0.481 In
0.870 0.361 0.019 In
0.016 0.324 0.302 Cl
0.092 0.762 0.519 Cl
0.101 0.899 0.250 Cl
0.238 0.908 0.981 Cl
0.324 0.016 0.802 Cl
0.424 0.473 0.825 Cl
0.473 0.424 0.325 Cl
0.527 0.576 0.675 Cl
0.576 0.527 0.175 Cl
0.676 0.984 0.198 Cl
0.762 0.092 0.019 Cl
0.899 0.101 0.750 Cl
0.908 0.238 0.481 Cl
0.984 0.676 0.698 Cl
```

Results
ΔE_f (raw) = -1011 meV per atom
Total energy = -3.86 eV per atom

=====

(12)
# Nb2InCl4

Crystalline Nb2InCl4 at its relaxed geometry (PBE-GGA, Alexandria via LeMat-Bulk).

Structure (POSCAR):
```
Nb2InCl4
1.0
-2.920 2.920 6.448
2.920 -2.920 6.448
2.920 2.920 -6.448
Nb In Cl
2 1 4
direct
0.081 0.081 0.000 Nb
0.919 0.919 0.000 Nb
0.500 0.500 0.000 In
0.000 0.500 0.500 Cl
0.270 0.270 0.000 Cl
0.500 0.000 0.500 Cl
0.730 0.730 0.000 Cl
```

Results
ΔE_f (raw) = -62 meV per atom
Total energy = -4.39 eV per atom
D(E_F) = 5.0 states/eV/f.u.

=====

(13)
# Nb3In2Cl9

Crystalline Nb3In2Cl9 at its relaxed geometry (PBE-GGA, Alexandria via LeMat-Bulk).

Structure (POSCAR):
```
Nb3In2Cl9
1.0
5.243 -8.398 0.000
5.243 8.398 0.000
-4.112 0.000 8.823
Nb In Cl
6 4 18
direct
0.042 0.217 0.642 Nb
0.120 0.120 0.375 Nb
0.217 0.042 0.642 Nb
0.783 0.958 0.358 Nb
0.880 0.880 0.625 Nb
0.958 0.783 0.358 Nb
0.230 0.548 0.168 In
0.452 0.770 0.832 In
0.548 0.230 0.168 In
0.770 0.452 0.832 In
0.091 0.884 0.187 Cl
0.099 0.495 0.826 Cl
0.116 0.909 0.813 Cl
0.189 0.397 0.519 Cl
0.207 0.793 0.500 Cl
0.270 0.270 0.218 Cl
0.308 0.308 0.833 Cl
0.397 0.189 0.519 Cl
0.495 0.099 0.826 Cl
0.505 0.901 0.174 Cl
0.603 0.811 0.481 Cl
0.692 0.692 0.167 Cl
0.730 0.730 0.782 Cl
0.793 0.207 0.500 Cl
0.811 0.603 0.481 Cl
0.884 0.091 0.187 Cl
0.901 0.505 0.174 Cl
0.909 0.116 0.813 Cl
```

Results
ΔE_f (raw) = -1160 meV per atom
Total energy = -4.90 eV per atom

=====

(14)
# NbIn2Cl5

Crystalline NbIn2Cl5 at its relaxed geometry (PBE-GGA, Alexandria via LeMat-Bulk).

Structure (POSCAR):
```
NbIn2Cl5
1.0
5.457 -4.385 0.000
5.457 4.385 0.000
-3.884 0.000 5.245
Nb In Cl
1 2 5
direct
0.000 0.000 0.000 Nb
0.499 0.499 0.089 In
0.500 0.500 0.590 In
0.000 0.377 0.285 Cl
0.000 0.622 0.907 Cl
0.001 0.001 0.649 Cl
0.377 0.000 0.285 Cl
0.622 0.000 0.907 Cl
```

Results
ΔE_f (raw) = -884 meV per atom
Total energy = -3.98 eV per atom
D(E_F) = 5.5 states/eV/f.u.

=====

(15)
# NbInCl6

Crystalline NbInCl6 at its relaxed geometry (PBE-GGA, Alexandria via LeMat-Bulk).

Structure (POSCAR):
```
NbInCl6
1.0
3.964 -6.290 0.000
3.964 6.290 0.000
-2.050 0.000 5.942
Nb In Cl
1 1 6
direct
0.000 0.000 0.000 Nb
0.500 0.500 0.000 In
0.001 0.736 0.166 Cl
0.264 0.264 0.323 Cl
0.264 0.999 0.834 Cl
0.736 0.001 0.166 Cl
0.736 0.736 0.677 Cl
0.999 0.264 0.834 Cl
```

Results
Relative energy among the computed polymorphs = 0.3 kJ/mol of atoms
ΔE_f (raw) = -1142 meV per atom
Total energy = -4.13 eV per atom

=====

(16)
# NbInCl2

Crystalline NbInCl2 at its relaxed geometry (PBE-GGA, Alexandria via LeMat-Bulk).

Structure (POSCAR):
```
NbInCl2
1.0
1.604 0.926 11.520
-1.604 0.926 11.520
0.000 -1.852 11.520
Nb In Cl
1 1 2
direct
0.000 0.000 0.000 Nb
0.500 0.500 0.500 In
0.385 0.385 0.385 Cl
0.615 0.615 0.615 Cl
```

Results
Relative energy among the computed polymorphs = 0.0 kJ/mol of atoms
ΔE_f (raw) = -637 meV per atom
Total energy = -4.76 eV per atom
D(E_F) = 1.7 states/eV/f.u.

=====

(17)
# NbInCl6

Crystalline NbInCl6 at its relaxed geometry (PBE-GGA, Alexandria via LeMat-Bulk).

Structure (POSCAR):
```
NbInCl6
1.0
6.817 0.000 0.000
-3.403 5.910 0.000
-3.407 -1.964 6.275
Nb In Cl
1 1 6
direct
0.000 0.000 0.000 Nb
0.000 0.500 0.500 In
0.160 0.970 0.781 Cl
0.188 0.810 0.219 Cl
0.408 0.378 0.219 Cl
0.592 0.622 0.781 Cl
0.812 0.190 0.781 Cl
0.840 0.030 0.219 Cl
```

Results
Relative energy among the computed polymorphs = 0.0 kJ/mol of atoms
ΔE_f (raw) = -1145 meV per atom
Total energy = -4.13 eV per atom

=====

(18)
# NbInPb2Cl

Crystalline NbInPb2Cl at its relaxed geometry (PBE-GGA, Alexandria via LeMat-Bulk).

Structure (POSCAR):
```
NbInPb2Cl
1.0
5.698 0.000 0.000
0.000 5.698 0.000
0.000 0.000 5.036
Nb In Pb Cl
1 1 2 1
direct
0.000 0.000 0.000 Nb
0.500 0.500 0.500 In
0.000 0.500 0.500 Pb
0.500 0.000 0.500 Pb
0.500 0.500 0.000 Cl
```

Results
ΔE_f (raw) = 1116 meV per atom
Total energy = -3.30 eV per atom
D(E_F) = 7.9 states/eV/f.u.